The following is a GGA+U calculation of a relaxed structure of Mg6MnSnO8, from the Alexandria database.

```
16
Lattice="4.464 0.000 0.000 0.000 4.464 0.000 0.000 0.000 8.904" Properties=species:S:1:pos:R:3 pbc="T T T"
Mg 0.000 0.000 4.452
Mg 2.232 2.232 4.452
Mg 0.000 2.232 2.356
Mg 0.000 2.232 6.549
Mg 2.232 0.000 2.356
Mg 2.232 0.000 6.549
Mn 0.000 0.000 0.000
Sn 2.232 2.232 0.000
O 0.000 0.000 2.319
O 0.000 0.000 6.585
O 2.232 2.232 2.442
O 2.232 2.232 6.462
O 0.000 2.232 0.000
O 0.000 2.232 4.452
O 2.232 0.000 0.000
O 2.232 0.000 4.452
```

The value obtained for the electronic total energy is -5.985 eV/atom.